Record 1
Computed, not measured: a crystal of MnMoRu3 relaxed with PBEsol at the meta-GGA SCAN level of DFT.

Cell and atoms, written as CIF:
```
data_MnMoRu3
_space_group_name_H-M_alt 'P 1'
_space_group_IT_number 1
_space_group_name_Hall 'P 1'
_cell_length_a 4.2821
_cell_length_b 4.2821
_cell_length_c 4.2821
_cell_angle_alpha 90.00
_cell_angle_beta 90.00
_cell_angle_gamma 90.00
loop_
_atom_site_label
_atom_site_type_symbol
_atom_site_fract_x
_atom_site_fract_y
_atom_site_fract_z
Mn1 Mn 0.0000 0.0000 0.0000
Mo1 Mo 0.5000 0.5000 0.5000
Ru1 Ru 0.0000 0.0000 0.5000
Ru2 Ru 0.0000 0.5000 0.0000
Ru3 Ru 0.5000 0.0000 0.0000
```

D(E_F) = 6.721 states/eV per cell
ΔE_f = 1.419 eV per atom
V = 15.7 Å³/atom
distance to the lowest polymorph of the same formula = 0.0 meV per atom

---

Record 2
Computed, not measured: a crystal of SiMoIr4 relaxed with PBEsol at the meta-GGA SCAN level of DFT.

Cell and atoms, written as CIF:
```
data_SiMoIr4
_space_group_name_H-M_alt 'P 1'
_space_group_IT_number 1
_space_group_name_Hall 'P 1'
_cell_length_a 5.0790
_cell_length_b 5.0790
_cell_length_c 5.0790
_cell_angle_alpha 60.00
_cell_angle_beta 60.00
_cell_angle_gamma 60.00
loop_
_atom_site_label
_atom_site_type_symbol
_atom_site_fract_x
_atom_site_fract_y
_atom_site_fract_z
Si1 Si 0.0000 0.0000 0.0000
Mo1 Mo 0.2500 0.2500 0.2500
Ir1 Ir 0.1249 0.6250 0.6250
Ir2 Ir 0.6250 0.1249 0.6250
Ir3 Ir 0.6250 0.6250 0.1249
Ir4 Ir 0.6250 0.6250 0.6250
```

D(E_F) = 6.568 states/eV per cell
raw formation energy = 54 kJ/mol of atoms
V = 15.4 Å³/atom